(1)
# KMgCu2Br6, relaxed, DFT PBE
# - DOS(E_F): 29.1 states/eV/cell
data_KMgCu2Br6
_cell_length_a 14.375
_cell_length_b 12.871
_cell_length_c 8.173
_cell_angle_alpha 90.00
_cell_angle_beta 114.86
_cell_angle_gamma 90.00
_symmetry_space_group_name_H-M 'C 1 2/c 1'
_symmetry_Int_Tables_number 15
loop_
_symmetry_equiv_pos_as_xyz
'x,y,z'
'-x,-y,-z'
'-x,y,-z+1/2'
'x,-y,z+1/2'
'x+1/2,y+1/2,z'
'-x+1/2,-y+1/2,-z'
'-x+1/2,y+1/2,-z+1/2'
'x+1/2,-y+1/2,z+1/2'
loop_
_atom_site_label
_atom_site_type_symbol
_atom_site_fract_x
_atom_site_fract_y
_atom_site_fract_z
K1 K 0.000 0.156 0.250
Mg1 Mg 0.000 0.188 0.750
Cu1 Cu 0.192 0.445 0.174
Br1 Br 0.116 0.065 0.672
Br2 Br 0.119 0.270 0.040
Br3 Br 0.148 0.436 0.428

(2)
# K2MgCuBr6, relaxed, DFT PBE
# - DOS(E_F): 1.2 states/eV/cell
data_K2MgCuBr6
_cell_length_a 7.778
_cell_length_b 7.575
_cell_length_c 12.591
_cell_angle_alpha 90.00
_cell_angle_beta 126.13
_cell_angle_gamma 90.00
_symmetry_space_group_name_H-M 'P 1 21/c 1'
_symmetry_Int_Tables_number 14
loop_
_symmetry_equiv_pos_as_xyz
'x,y,z'
'-x,-y,-z'
'-x,y+1/2,-z+1/2'
'x,-y+1/2,z+1/2'
loop_
_atom_site_label
_atom_site_type_symbol
_atom_site_fract_x
_atom_site_fract_y
_atom_site_fract_z
K1 K 0.238 0.044 0.245
Mg1 Mg 0.000 0.000 0.500
Cu1 Cu 0.500 0.000 0.000
Br1 Br 0.153 0.239 0.959
Br2 Br 0.264 0.738 0.956
Br3 Br 0.346 0.025 0.764

(3)
# KMn2CuBr8, relaxed, DFT PBE
# - DOS(E_F): 4.9 states/eV/cell
data_KMn2CuBr8
_cell_length_a 6.8523
_cell_length_b 6.8523
_cell_length_c 9.3165
_cell_angle_alpha 90.00
_cell_angle_beta 90.00
_cell_angle_gamma 120.00
_symmetry_space_group_name_H-M 'P -3'
_symmetry_Int_Tables_number 147
loop_
_symmetry_equiv_pos_as_xyz
'x,y,z'
'-x,-y,-z'
'-y,x-y,z'
'y,-x+y,-z'
'-x+y,-x,z'
'x-y,x,-z'
loop_
_atom_site_label
_atom_site_type_symbol
_atom_site_fract_x
_atom_site_fract_y
_atom_site_fract_z
K1 K 0.0000 0.0000 0.0000
Mn1 Mn 0.3333 0.6667 0.7347
Cu1 Cu 0.0000 0.0000 0.5000
Br1 Br 0.0089 0.3084 0.6667
Br2 Br 0.3333 0.6667 0.9902

(4)
# KMnCuBr5, relaxed, DFT PBE
# - DOS(E_F): 10.4 states/eV/cell
data_KMnCuBr5
_cell_length_a 8.927
_cell_length_b 11.927
_cell_length_c 9.916
_cell_angle_alpha 90.00
_cell_angle_beta 113.15
_cell_angle_gamma 90.00
_symmetry_space_group_name_H-M 'C 1 2/c 1'
_symmetry_Int_Tables_number 15
loop_
_symmetry_equiv_pos_as_xyz
'x,y,z'
'-x,-y,-z'
'-x,y,-z+1/2'
'x,-y,z+1/2'
'x+1/2,y+1/2,z'
'-x+1/2,-y+1/2,-z'
'-x+1/2,y+1/2,-z+1/2'
'x+1/2,-y+1/2,z+1/2'
loop_
_atom_site_label
_atom_site_type_symbol
_atom_site_fract_x
_atom_site_fract_y
_atom_site_fract_z
K1 K 0.000 0.159 0.250
Mn1 Mn 0.000 0.500 0.000
Cu1 Cu 0.000 0.192 0.750
Br1 Br 0.000 0.436 0.250
Br2 Br 0.099 0.298 0.593
Br3 Br 0.198 0.065 0.928

Number 1: E_form (uncorrected) -0.885 eV per atom, density 3.24 g cm⁻³, size of the total moment 4.4 μB/cell. Number 2: E_form (uncorrected) -1.166 eV per atom, density 3.58 g cm⁻³, size of the total moment 2.0 μB/cell. Number 3: E_form (uncorrected) -0.733 eV per atom, density 3.73 g cm⁻³, size of the total moment 8.0 μB/cell. Number 4: E_form (uncorrected) -0.843 eV per atom, density 3.81 g cm⁻³, size of the total moment 16.0 μB/cell.